The following is a SCAN calculation of a crystal of NbBiRuSe2 relaxed with PBEsol, from the Alexandria database.

Results
Raw formation energy ... 9.03 eV/f.u.
DFT total energy ... -35.533 eV/atom
M_tot ... 6.06 μB per cell

Cell lengths 5.335, 5.335, 5.351 Å; angles 90.00, 90.00, 90.00 degrees
Space group P4/mmm (No. 123)
Inequivalent atoms, fractional coordinates:
Nb (0.000, 0.000, 0.000) [1 per cell]
Bi (0.000, 0.000, 0.500) [1 per cell]
Ru (0.500, 0.500, 0.000) [1 per cell]
Se (0.000, 0.500, 0.500) [2 per cell]